20
Lattice="5.188 0.000 0.000 0.000 9.639 -2.690 0.000 0.301 11.412" Properties=species:S:1:pos:R:3 comment="Dy6ScTl3 PBE relaxed" vol_a3_per_cell=574.9 dft_energy_ev_per_atom=-4.291 crystal_system=monoclinic pbc="T T T"
Dy 1.297 4.278 -0.132
Dy 3.891 5.662 8.854
Dy 1.297 1.172 1.923
Dy 3.891 8.768 6.800
Dy 1.297 6.546 6.029
Dy 3.891 3.394 2.694
Dy 1.297 2.599 5.071
Dy 3.891 7.341 3.652
Dy 1.297 7.978 1.201
Dy 3.891 1.962 7.522
Dy 1.297 1.345 9.840
Dy 3.891 8.595 -1.118
Sc 1.297 9.438 4.246
Sc 3.891 0.502 4.476
Tl 1.297 5.256 3.040
Tl 3.891 4.684 5.682
Tl 1.297 3.940 8.052
Tl 3.891 6.000 0.670
Tl 1.297 7.874 8.919
Tl 3.891 2.066 -0.196